1 | VASP calculation (PBE) on crystalline Tb6Sm3Tm at its relaxed geometry.

a = 6.3163 Å, b = 10.9527 Å, c = 10.9527 Å
α = 120.04°, β = 90.00°, γ = 90.00°
Atoms (fractional coordinates):
1 Tb 0.0476 0.7122 0.6211
2 Tb 0.5476 0.6211 0.7122
3 Tb 0.3652 0.5300 0.9497
4 Tb 0.8652 0.9497 0.5300
5 Tb 0.3881 0.9585 0.0415
6 Tb 0.6470 0.2753 0.7247
7 Tb 0.1470 0.7247 0.2753
8 Tb 0.8881 0.0415 0.9585
9 Tb 0.3652 0.0503 0.4700
10 Tb 0.8652 0.4700 0.0503
11 Tb 0.0476 0.3789 0.2878
12 Tb 0.5476 0.2878 0.3789
13 Sm 0.4618 0.9403 0.7154
14 Sm 0.9618 0.7154 0.9403
15 Sm 0.0714 0.3883 0.6117
16 Sm 0.5714 0.6117 0.3883
17 Sm 0.9618 0.0597 0.2846
18 Sm 0.4618 0.2846 0.0597
19 Tm 0.1297 0.1989 0.8011
20 Tm 0.6297 0.8011 0.1989

***

2 | VASP calculation (PBE) on crystalline Tb6Sm3Tm at its relaxed geometry.

a = 6.8279 Å, b = 10.2770 Å, c = 5.9566 Å
α = 89.70°, β = 124.97°, γ = 90.00°
Atoms (fractional coordinates):
1 Tb 0.3738 0.2494 0.2413
2 Tb 0.1325 0.7506 0.7587
3 Tb 0.6262 0.7506 0.7587
4 Tb 0.8675 0.2494 0.2413
5 Tb 0.3541 0.0641 0.7082
6 Tb 0.6459 0.9359 0.2918
7 Sm 0.8532 0.4368 0.7064
8 Sm 0.1468 0.5632 0.2936
9 Sm 0.0000 0.0000 0.0000
10 Tm 0.5000 0.5000 0.0000

***

Q: Which of them is the most stable? A: 1.

***

1 | VASP calculation (PBE) on crystalline Tb2Sm12Tm5 at its relaxed geometry.

a = 9.9156 Å, b = 9.4602 Å, c = 11.3618 Å
α = 52.85°, β = 90.00°, γ = 121.61°
Atoms (fractional coordinates):
1 Tb 0.7504 0.0000 0.0000
2 Tb 0.2496 0.0000 0.0000
3 Sm 0.0964 0.1928 0.1076
4 Sm 0.0579 0.6039 0.7965
5 Sm 0.5460 0.6039 0.7965
6 Sm 0.1521 0.7958 0.4012
7 Sm 0.6437 0.7958 0.4012
8 Sm 0.3945 0.7889 0.9162
9 Sm 0.6055 0.2111 0.0838
10 Sm 0.8479 0.2042 0.5988
11 Sm 0.3563 0.2042 0.5988
12 Sm 0.9421 0.3961 0.2035
13 Sm 0.4540 0.3961 0.2035
14 Sm 0.9036 0.8072 0.8924
15 Tm 0.1899 0.3798 0.7041
16 Tm 0.2954 0.5909 0.3026
17 Tm 0.0000 0.0000 0.5000
18 Tm 0.7046 0.4091 0.6974
19 Tm 0.8101 0.6202 0.2959

***

2 | VASP calculation (PBE) on crystalline Tb2Sm12Tm5 at its relaxed geometry.

a = 9.2459 Å, b = 9.1492 Å, c = 8.6339 Å
α = 88.81°, β = 90.00°, γ = 120.35°
Atoms (fractional coordinates):
1 Tb 0.6731 0.0000 0.0000
2 Tb 0.3269 0.0000 0.0000
3 Sm 0.0868 0.1736 0.1171
4 Sm 0.1778 0.7454 0.6698
5 Sm 0.5676 0.7454 0.6698
6 Sm 0.0281 0.6934 0.2373
7 Sm 0.6653 0.6934 0.2373
8 Sm 0.5616 0.1232 0.6603
9 Sm 0.4384 0.8768 0.3397
10 Sm 0.9719 0.3066 0.7627
11 Sm 0.3347 0.3066 0.7627
12 Sm 0.8222 0.2546 0.3302
13 Sm 0.4324 0.2546 0.3302
14 Sm 0.9132 0.8264 0.8829
15 Tm 0.2308 0.4617 0.4306
16 Tm 0.3000 0.5999 0.0212
17 Tm 0.0000 0.0000 0.5000
18 Tm 0.7000 0.4001 0.9788
19 Tm 0.7692 0.5383 0.5694

***

Q: Which of them is the most stable? A: 1.

***

1 | VASP calculation (PBE) on crystalline TbSm5Tm4 at its relaxed geometry.

a = 6.3078 Å, b = 7.8658 Å, c = 7.8658 Å
α = 80.75°, β = 66.36°, γ = 66.36°
Atoms (fractional coordinates):
1 Tb 0.2232 0.0000 0.0000
2 Sm 0.8054 0.3803 0.9121
3 Sm 0.1857 0.9121 0.6197
4 Sm 0.7175 0.0879 0.3803
5 Sm 0.0978 0.6197 0.0879
6 Sm 0.6808 0.0000 0.0000
7 Tm 0.4014 0.3956 0.7016
8 Tm 0.7970 0.7016 0.6044
9 Tm 0.1030 0.2984 0.3956
10 Tm 0.4986 0.6044 0.2984

***

2 | VASP calculation (PBE) on crystalline TbSm5Tm4 at its relaxed geometry.

a = 3.5327 Å, b = 11.3687 Å, c = 11.9133 Å
α = 136.32°, β = 98.53°, γ = 90.00°
Atoms (fractional coordinates):
1 Tb 0.5000 0.0000 0.0000
2 Sm 0.2108 0.3055 0.4217
3 Sm 0.1890 0.8010 0.3779
4 Sm 0.8110 0.1990 0.6221
5 Sm 0.5000 0.5000 0.0000
6 Sm 0.7892 0.6945 0.5783
7 Tm 0.6046 0.9136 0.2092
8 Tm 0.0820 0.3712 0.1640
9 Tm 0.3954 0.0864 0.7908
10 Tm 0.9180 0.6288 0.8360

***

Q: Which of them is the most stable? A: 2.

***

1 | VASP calculation (PBE) on crystalline Tb4Sm4Tm3 at its relaxed geometry.

a = 3.5234 Å, b = 5.6294 Å, c = 18.0464 Å
α = 81.03°, β = 84.39°, γ = 90.00°
Atoms (fractional coordinates):
1 Tb 0.5460 0.5460 0.9087
2 Tb 0.4541 0.4541 0.0913
3 Tb 0.3199 0.8201 0.3596
4 Tb 0.6801 0.1799 0.6404
5 Sm 0.5903 0.0903 0.8199
6 Sm 0.2678 0.2676 0.4647
7 Sm 0.7322 0.7325 0.5352
8 Sm 0.4098 0.9097 0.1801
9 Tm 0.1361 0.6358 0.7287
10 Tm 0.8640 0.3642 0.2714
11 Tm 0.0000 0.0000 0.0000

***

2 | VASP calculation (PBE) on crystalline Tb4Sm4Tm3 at its relaxed geometry.

a = 3.5410 Å, b = 5.5826 Å, c = 18.2294 Å
α = 98.83°, β = 95.61°, γ = 90.00°
Atoms (fractional coordinates):
1 Tb 0.5452 0.5437 0.0873
2 Tb 0.4548 0.4563 0.9127
3 Tb 0.8157 0.8178 0.6361
4 Tb 0.1842 0.1823 0.3639
5 Sm 0.5977 0.0958 0.1916
6 Sm 0.2769 0.2784 0.5574
7 Sm 0.7230 0.7217 0.4427
8 Sm 0.4023 0.9043 0.8084
9 Tm 0.1322 0.6298 0.2594
10 Tm 0.8678 0.3702 0.7406
11 Tm 0.0000 0.0000 0.0000

***

Q: Which of them is the most stable? A: 2.

***

1 | VASP calculation (PBE) on crystalline Tb4Sm2Tm5 at its relaxed geometry.

a = 3.5116 Å, b = 8.5277 Å, c = 14.1701 Å
α = 122.26°, β = 97.12°, γ = 90.00°
Atoms (fractional coordinates):
1 Tb 0.5878 0.4831 0.1755
2 Tb 0.0396 0.7380 0.0793
3 Tb 0.4122 0.5169 0.8245
4 Tb 0.9604 0.2620 0.9207
5 Sm 0.7238 0.6205 0.4475
6 Sm 0.2762 0.3795 0.5525
7 Tm 0.1853 0.8985 0.3707
8 Tm 0.8147 0.1015 0.6293
9 Tm 0.1294 0.2121 0.2588
10 Tm 0.5000 0.0000 0.0000
11 Tm 0.8706 0.7879 0.7412

***

2 | VASP calculation (PBE) on crystalline Tb4Sm2Tm5 at its relaxed geometry.

a = 3.5344 Å, b = 9.3598 Å, c = 11.7396 Å
α = 106.31°, β = 81.38°, γ = 112.20°
Atoms (fractional coordinates):
1 Tb 0.7719 0.4539 0.3644
2 Tb 0.3152 0.3611 0.0919
3 Tb 0.2281 0.5461 0.6357
4 Tb 0.6848 0.6389 0.9081
5 Sm 0.8623 0.2695 0.8165
6 Sm 0.1377 0.7305 0.1835
7 Tm 0.9549 0.0916 0.2736
8 Tm 0.0451 0.9084 0.7264
9 Tm 0.5916 0.8202 0.4564
10 Tm 0.5000 0.0000 0.0000
11 Tm 0.4084 0.1798 0.5436

***

Q: Which of them is the most stable? A: 2.

***

1 | VASP calculation (PBE) on crystalline Tb9SmTm2 at its relaxed geometry.

a = 3.5021 Å, b = 11.2341 Å, c = 11.2341 Å
α = 120.00°, β = 90.00°, γ = 90.00°
Atoms (fractional coordinates):
1 Tb 0.0000 0.0000 0.5000
2 Tb 0.0000 0.5000 0.5000
3 Tb 0.0000 0.5000 0.0000
4 Tb 0.5000 0.3551 0.1776
5 Tb 0.5000 0.1776 0.8224
6 Tb 0.5000 0.1776 0.3551
7 Tb 0.5000 0.8224 0.6449
8 Tb 0.5000 0.8224 0.1776
9 Tb 0.5000 0.6449 0.8224
10 Sm 0.0000 0.0000 0.0000
11 Tm 0.0000 0.3333 0.6667
12 Tm 0.0000 0.6667 0.3333

***

2 | VASP calculation (PBE) on crystalline Tb9SmTm2 at its relaxed geometry.

a = 5.0257 Å, b = 5.0257 Å, c = 15.0781 Å
α = 90.00°, β = 90.00°, γ = 90.00°
Atoms (fractional coordinates):
1 Tb 0.5000 0.5000 0.0000
2 Tb 0.5000 0.5000 0.3349
3 Tb 0.5000 0.5000 0.6651
4 Tb 0.5000 0.0000 0.1686
5 Tb 0.5000 0.0000 0.5000
6 Tb 0.5000 0.0000 0.8314
7 Tb 0.0000 0.5000 0.1686
8 Tb 0.0000 0.5000 0.5000
9 Tb 0.0000 0.5000 0.8314
10 Sm 0.0000 0.0000 0.0000
11 Tm 0.0000 0.0000 0.3344
12 Tm 0.0000 0.0000 0.6656

***

Q: Which of them is the most stable? A: 2.

***

1 | VASP calculation (PBE) on crystalline TbSm7Tm4 at its relaxed geometry.

a = 7.2068 Å, b = 6.2481 Å, c = 11.4327 Å
α = 79.55°, β = 50.94°, γ = 90.06°
Atoms (fractional coordinates):
1 Tb 0.0000 0.0000 0.0000
2 Sm 0.7459 0.5012 0.0013
3 Sm 0.2541 0.4988 0.9987
4 Sm 0.0844 0.2801 0.6645
5 Sm 0.9156 0.7199 0.3355
6 Sm 0.3349 0.7782 0.6651
7 Sm 0.5000 0.0000 0.0000
8 Sm 0.6651 0.2218 0.3349
9 Tm 0.4131 0.7220 0.3339
10 Tm 0.5869 0.2780 0.6661
11 Tm 0.8358 0.7805 0.6643
12 Tm 0.1642 0.2195 0.3357

***

2 | VASP calculation (PBE) on crystalline TbSm7Tm4 at its relaxed geometry.

a = 5.9296 Å, b = 9.6422 Å, c = 8.5362 Å
α = 61.62°, β = 69.68°, γ = 72.09°
Last column: magnetic moment on the atom in μB.
Atoms (fractional coordinates):
1 Tb 0.0000 0.0000 0.0000  0.10
2 Sm 0.7864 0.8844 0.5428  0.00
3 Sm 0.2136 0.1156 0.4572  0.00
4 Sm 0.0855 0.5510 0.2781  0.00
5 Sm 0.9145 0.4490 0.7219  0.00
6 Sm 0.2133 0.7596 0.8138  0.00
7 Sm 0.5000 0.0000 0.0000  0.09
8 Sm 0.7867 0.2404 0.1862  0.00
9 Tm 0.5706 0.3009 0.5579  0.00
10 Tm 0.4294 0.6991 0.4421  0.00
11 Tm 0.6697 0.6187 0.0418  0.01
12 Tm 0.3303 0.3813 0.9582  0.01

***

Q: Which of them is the most stable? A: 1.

***

1 | VASP calculation (PBE) on crystalline Tb4SmTm6 at its relaxed geometry.

a = 9.6248 Å, b = 9.6248 Å, c = 9.6248 Å
α = 57.38°, β = 140.31°, γ = 140.31°
Atoms (fractional coordinates):
1 Tb 0.0000 0.6390 0.0139
2 Tb 0.3749 0.3610 0.3610
3 Tb 0.0000 0.0139 0.6390
4 Tb 0.6251 0.9861 0.9861
5 Sm 0.0000 0.0000 0.0000
6 Tm 0.0000 0.8089 0.4506
7 Tm 0.0000 0.4506 0.8089
8 Tm 0.3583 0.5494 0.5494
9 Tm 0.5000 0.5000 0.0000
10 Tm 0.6417 0.1911 0.1911
11 Tm 0.5000 0.0000 0.5000

***

2 | VASP calculation (PBE) on crystalline Tb4SmTm6 at its relaxed geometry.

a = 7.6653 Å, b = 7.6653 Å, c = 8.3917 Å
α = 117.18°, β = 117.18°, γ = 90.00°
Atoms (fractional coordinates):
1 Tb 0.0943 0.7560 0.8503
2 Tb 0.9057 0.9057 0.1497
3 Tb 0.7560 0.0943 0.8503
4 Tb 0.2440 0.2440 0.1497
5 Sm 0.5000 0.5000 0.0000
6 Tm 0.9357 0.4323 0.3680
7 Tm 0.4323 0.9357 0.3680
8 Tm 0.5677 0.5677 0.6320
9 Tm 0.0000 0.5000 0.0000
10 Tm 0.0643 0.0643 0.6320
11 Tm 0.5000 0.0000 0.0000

***

Q: Which of them is the most stable? A: 1.

***

1 | VASP calculation (PBE) on crystalline Tb5SmTm at its relaxed geometry.

a = 6.7595 Å, b = 6.7595 Å, c = 13.5729 Å
α = 62.24°, β = 62.24°, γ = 59.71°
Atoms (fractional coordinates):
1 Tb 0.1566 0.3940 0.7566
2 Tb 0.6582 0.6846 0.4987
3 Tb 0.3940 0.1566 0.2566
4 Tb 0.1610 0.8390 0.7500
5 Tb 0.3154 0.3418 0.0013
6 Tb 0.6846 0.6582 0.9987
7 Tb 0.8390 0.1610 0.2500
8 Tb 0.6060 0.8434 0.7434
9 Tb 0.3418 0.3154 0.5013
10 Tb 0.8434 0.6060 0.2434
11 Sm 0.7195 0.2805 0.7500
12 Sm 0.2805 0.7195 0.2500
13 Tm 0.0000 0.0000 0.0000
14 Tm 0.0000 0.0000 0.5000

***

2 | VASP calculation (PBE) on crystalline Tb5SmTm at its relaxed geometry.

a = 6.1502 Å, b = 7.9836 Å, c = 7.7011 Å
α = 121.22°, β = 113.53°, γ = 90.00°
Atoms (fractional coordinates):
1 Tb 0.1900 0.2546 0.5091
2 Tb 0.1695 0.5000 0.0000
3 Tb 0.6809 0.7454 0.4909
4 Tb 0.4330 0.8206 0.0000
5 Tb 0.4330 0.1794 0.0000
6 Sm 0.9314 0.0000 0.0000
7 Tm 0.6929 0.5000 0.0000

***

Q: Which of them is the most stable? A: 1.

***

1 | VASP calculation (PBE) on crystalline Tb7SmTm2 at its relaxed geometry.

a = 5.4407 Å, b = 8.8788 Å, c = 9.4611 Å
α = 117.99°, β = 106.70°, γ = 52.18°
Atoms (fractional coordinates):
1 Tb 0.9994 0.8003 0.6001
2 Tb 0.0006 0.1997 0.3999
3 Tb 0.7507 0.6388 0.7796
4 Tb 0.2493 0.3612 0.2204
5 Tb 0.7519 0.8584 0.2203
6 Tb 0.2481 0.1416 0.7797
7 Tb 0.5000 0.5000 0.0000
8 Sm 0.0000 0.0000 0.0000
9 Tm 0.5004 0.6990 0.3986
10 Tm 0.4996 0.3010 0.6014

***

2 | VASP calculation (PBE) on crystalline Tb7SmTm2 at its relaxed geometry.

a = 5.6203 Å, b = 9.1260 Å, c = 9.1260 Å
α = 122.66°, β = 90.00°, γ = 90.00°
Atoms (fractional coordinates):
1 Tb 0.0000 0.7814 0.2186
2 Tb 0.0000 0.2186 0.7814
3 Tb 0.5000 0.0621 0.2926
4 Tb 0.5000 0.9379 0.7074
5 Tb 0.5000 0.2926 0.0621
6 Tb 0.5000 0.7074 0.9379
7 Tb 0.5000 0.5000 0.5000
8 Sm 0.0000 0.0000 0.0000
9 Tm 0.5000 0.7039 0.2961
10 Tm 0.5000 0.2961 0.7039

***

Q: Which of them is the most stable? A: 1.